one | ## Sr2CdAg2 (PBE-GGA)

Data for an optimized crystal structure of Sr2CdAg2.

- density (g/cm³) = 5.50

a = 3.9819 Å, b = 3.9819 Å, c = 19.1545 Å
α = 90.00°, β = 90.00°, γ = 90.00°
Element x y z (fractional)
Sr1 0.0000 0.0000 0.1092
Sr2 0.0000 0.0000 0.8908
Sr3 0.5000 0.5000 0.3908
Sr4 0.5000 0.5000 0.6092
Cd1 0.0000 0.0000 0.5000
Cd2 0.5000 0.5000 0.0000
Ag1 0.0000 0.5000 0.2500
Ag2 0.0000 0.5000 0.7500
Ag3 0.5000 0.0000 0.2500
Ag4 0.5000 0.0000 0.7500

two | ## Sr2CdAg2 (PBE-GGA)

Data for an optimized crystal structure of Sr2CdAg2.

- density (g/cm³) = 5.17

a = 8.9985 Å, b = 8.9985 Å, c = 3.9921 Å
α = 90.00°, β = 90.00°, γ = 90.00°
Element x y z (fractional)
Sr1 0.1706 0.3294 0.0000
Sr2 0.3294 0.8294 0.0000
Sr3 0.6706 0.1706 0.0000
Sr4 0.8294 0.6706 0.0000
Cd1 0.0000 0.0000 0.0000
Cd2 0.5000 0.5000 0.0000
Ag1 0.1171 0.6171 0.5000
Ag2 0.3829 0.1171 0.5000
Ag3 0.6171 0.8829 0.5000
Ag4 0.8829 0.3829 0.5000

Most favorable structure: one. The second most favorable one is 51 meV/atom above it.

one | ## Sr2CdAg2 (PBE-GGA)

Data for an optimized crystal structure of Sr2CdAg2.

- density (g/cm³) = 5.23

a = 6.2034 Å, b = 6.2034 Å, c = 8.3130 Å
α = 90.00°, β = 90.00°, γ = 90.00°
Element x y z (fractional)
Sr1 0.0000 0.5000 0.2500
Sr2 0.0000 0.5000 0.7500
Sr3 0.5000 0.0000 0.2500
Sr4 0.5000 0.0000 0.7500
Cd1 0.0000 0.0000 0.0000
Cd2 0.5000 0.5000 0.5000
Ag1 0.0000 0.0000 0.3399
Ag2 0.0000 0.0000 0.6601
Ag3 0.5000 0.5000 0.1601
Ag4 0.5000 0.5000 0.8399

two | ## Sr2CdAg2 (PBE-GGA)

Data for an optimized crystal structure of Sr2CdAg2.

- density (g/cm³) = 5.62

a = 8.2414 Å, b = 8.2414 Å, c = 4.3795 Å
α = 90.00°, β = 90.00°, γ = 90.00°
Element x y z (fractional)
Sr1 0.1772 0.3228 0.0000
Sr2 0.3228 0.8228 0.0000
Sr3 0.6772 0.1772 0.0000
Sr4 0.8228 0.6772 0.0000
Cd1 0.0000 0.0000 0.5000
Cd2 0.5000 0.5000 0.5000
Ag1 0.1224 0.6224 0.5000
Ag2 0.3776 0.1224 0.5000
Ag3 0.6224 0.8776 0.5000
Ag4 0.8776 0.3776 0.5000

Most favorable structure: two. The second most favorable one is 125 meV/atom above it.

one | ## Sr2Cd3Ag6 (PBE-GGA)

Data for an optimized crystal structure of Sr2Cd3Ag6.

- density (g/cm³) = 6.74

a = 8.1899 Å, b = 8.1899 Å, c = 4.3769 Å
α = 90.00°, β = 90.00°, γ = 103.31°
Element x y z (fractional)
Sr1 0.1824 0.8176 0.0000
Sr2 0.8176 0.1824 0.0000
Cd1 0.3052 0.3052 0.0000
Cd2 0.5000 0.5000 0.5000
Cd3 0.6948 0.6948 0.0000
Ag1 0.1312 0.1312 0.5000
Ag2 0.1600 0.4877 0.5000
Ag3 0.4877 0.1600 0.5000
Ag4 0.5123 0.8400 0.5000
Ag5 0.8400 0.5123 0.5000
Ag6 0.8688 0.8688 0.5000

two | ## Sr2Cd3Ag6 (PBE-GGA)

Data for an optimized crystal structure of Sr2Cd3Ag6.

- density (g/cm³) = 7.19

a = 8.0355 Å, b = 8.0355 Å, c = 4.7865 Å
α = 90.00°, β = 90.00°, γ = 120.00°
Element x y z (fractional)
Sr1 0.3333 0.6667 0.0000
Sr2 0.6667 0.3333 0.0000
Cd1 0.0000 0.4112 0.5000
Cd2 0.4112 0.0000 0.5000
Cd3 0.5888 0.5888 0.5000
Ag1 0.0000 0.2063 0.0000
Ag2 0.0000 0.7659 0.5000
Ag3 0.2063 0.0000 0.0000
Ag4 0.2341 0.2341 0.5000
Ag5 0.7659 0.0000 0.5000
Ag6 0.7937 0.7937 0.0000

Most favorable structure: two. The second most favorable one is 52 meV/atom above it.

one | ## SrCd9Ag2 (PBE-GGA)

Data for an optimized crystal structure of SrCd9Ag2.

- density (g/cm³) = 7.88

a = 9.3139 Å, b = 9.3139 Å, c = 9.3139 Å
α = 99.85°, β = 99.85°, γ = 131.13°
Element x y z (fractional)
Sr1 0.3750 0.6250 0.7500
Sr2 0.6250 0.3750 0.2500
Cd1 0.1250 0.8750 0.2500
Cd2 0.1315 0.5579 0.3319
Cd3 0.1315 0.7996 0.5735
Cd4 0.2004 0.2740 0.3319
Cd5 0.2004 0.8685 0.9265
Cd6 0.2740 0.2004 0.8319
Cd7 0.2740 0.4421 0.0735
Cd8 0.4421 0.2740 0.5735
Cd9 0.4421 0.8685 0.1681
Cd10 0.5579 0.1315 0.8319
Cd11 0.5579 0.7260 0.4265
Cd12 0.7260 0.5579 0.9265
Cd13 0.7260 0.7996 0.1681
Cd14 0.7996 0.1315 0.0735
Cd15 0.7996 0.7260 0.6681
Cd16 0.8685 0.2004 0.4265
Cd17 0.8685 0.4421 0.6681
Cd18 0.8750 0.1250 0.7500
Ag1 0.0000 0.0000 0.0000
Ag2 0.0000 0.0000 0.5000
Ag3 0.0000 0.5000 0.0000
Ag4 0.5000 0.0000 0.5000

two | ## SrCd9Ag2 (PBE-GGA)

Data for an optimized crystal structure of SrCd9Ag2.

- density (g/cm³) = 7.88

a = 9.6321 Å, b = 9.6321 Å, c = 3.4484 Å
α = 90.00°, β = 90.00°, γ = 120.00°
Element x y z (fractional)
Sr1 0.0000 0.0000 0.0000
Cd1 0.0000 0.5000 0.0000
Cd2 0.1848 0.3696 0.5000
Cd3 0.1848 0.8152 0.5000
Cd4 0.3696 0.1848 0.5000
Cd5 0.5000 0.0000 0.0000
Cd6 0.5000 0.5000 0.0000
Cd7 0.6304 0.8152 0.5000
Cd8 0.8152 0.1848 0.5000
Cd9 0.8152 0.6304 0.5000
Ag1 0.3333 0.6667 0.0000
Ag2 0.6667 0.3333 0.0000

Most favorable structure: one. The second most favorable one is 63 meV/atom above it.

one | ## Sr3CdAg3 (PBE-GGA)

Data for an optimized crystal structure of Sr3CdAg3.

- density (g/cm³) = 5.41

a = 6.4530 Å, b = 6.4530 Å, c = 16.0812 Å
α = 108.48°, β = 108.48°, γ = 42.96°
Element x y z (fractional)
Sr1 0.0308 0.0308 0.3851
Sr2 0.1049 0.1049 0.9231
Sr3 0.2447 0.2447 0.2310
Sr4 0.7553 0.7553 0.7690
Sr5 0.8951 0.8951 0.0769
Sr6 0.9692 0.9692 0.6149
Cd1 0.2586 0.2586 0.6012
Cd2 0.7414 0.7414 0.3988
Ag1 0.3739 0.3739 0.4585
Ag2 0.3936 0.3936 0.9224
Ag3 0.4637 0.4637 0.7674
Ag4 0.5363 0.5363 0.2326
Ag5 0.6064 0.6064 0.0776
Ag6 0.6261 0.6261 0.5415

two | ## Sr3CdAg3 (PBE-GGA)

Data for an optimized crystal structure of Sr3CdAg3.

- density (g/cm³) = 4.57

a = 9.5486 Å, b = 9.5486 Å, c = 6.4334 Å
α = 90.00°, β = 90.00°, γ = 120.00°
Element x y z (fractional)
Sr1 0.0602 0.3723 0.2500
Sr2 0.3121 0.9398 0.2500
Sr3 0.3723 0.3121 0.7500
Sr4 0.6277 0.6879 0.2500
Sr5 0.6879 0.0602 0.7500
Sr6 0.9398 0.6277 0.7500
Cd1 0.3333 0.6667 0.7500
Cd2 0.6667 0.3333 0.2500
Ag1 0.0522 0.3582 0.7500
Ag2 0.3060 0.9478 0.7500
Ag3 0.3582 0.3060 0.2500
Ag4 0.6418 0.6940 0.7500
Ag5 0.6940 0.0522 0.2500
Ag6 0.9478 0.6418 0.2500

Most favorable structure: one. The second most favorable one is 183 meV/atom above it.

one | ## Sr2Cd5Ag3 (PBE-GGA)

Data for an optimized crystal structure of Sr2Cd5Ag3.

- density (g/cm³) = 6.80

a = 4.4287 Å, b = 4.4287 Å, c = 13.2112 Å
α = 90.00°, β = 90.00°, γ = 90.00°
Element x y z (fractional)
Sr1 0.0000 0.5000 0.2363
Sr2 0.5000 0.0000 0.7637
Cd1 0.0000 0.0000 0.5000
Cd2 0.0000 0.5000 0.6496
Cd3 0.5000 0.0000 0.3504
Cd4 0.5000 0.5000 0.0000
Cd5 0.5000 0.5000 0.5000
Ag1 0.0000 0.0000 0.0000
Ag2 0.0000 0.5000 0.8599
Ag3 0.5000 0.0000 0.1401

two | ## Sr2Cd5Ag3 (PBE-GGA)

Data for an optimized crystal structure of Sr2Cd5Ag3.

- density (g/cm³) = 6.95

a = 13.8443 Å, b = 13.8443 Å, c = 7.6563 Å
α = 90.00°, β = 90.00°, γ = 159.78°
Element x y z (fractional)
Sr1 0.0196 0.9804 0.5000
Sr2 0.3246 0.6754 0.5461
Sr3 0.6754 0.3246 0.0461
Sr4 0.9804 0.0196 0.0000
Cd1 0.1039 0.8961 0.8411
Cd2 0.2050 0.7950 0.3661
Cd3 0.2084 0.7916 0.7537
Cd4 0.3749 0.6251 0.0079
Cd5 0.4471 0.5529 0.6847
Cd6 0.5529 0.4471 0.1847
Cd7 0.6251 0.3749 0.5079
Cd8 0.7916 0.2084 0.2537
Cd9 0.7950 0.2050 0.8661
Cd10 0.8961 0.1039 0.3411
Ag1 0.1088 0.8912 0.2273
Ag2 0.2686 0.7314 0.0632
Ag3 0.4495 0.5505 0.2924
Ag4 0.5505 0.4495 0.7924
Ag5 0.7314 0.2686 0.5632
Ag6 0.8912 0.1088 0.7273

Most favorable structure: two. The second most favorable one is 16 meV/atom above it.